[1]
Compound: BaRhSe2
Source: Alexandria via LeMat-Bulk
Functional: GGA-PBE
Structure: optimized geometry

Cell: 3.877 3.877 7.228 Å, 90.00 90.00 90.00°
Atoms (fractional coordinates):
Ba 0.000 0.000 0.000
Rh 0.500 0.500 0.466
Se 0.000 0.000 0.446
Se 0.500 0.500 0.802

Results
Its density of states at the Fermi level is 0.87 states/eV/atom. For the total energy, the calculation gives -18.49 eV/cell. The space-group type is P4mm (99). As for the relative energy among the computed polymorphs: 9.12 kcal/mol of atoms. The value obtained for the uncorrected formation energy is -0.562 eV/atom.

=====

[2]
Compound: SmPaCdSn
Source: Alexandria via LeMat-Bulk
Functional: GGA-PBE
Structure: optimized geometry

Cell: 7.571 7.571 7.571 Å, 90.00 90.00 90.00°
Atoms (fractional coordinates):
Sm 0.000 0.000 0.000
Sm 0.000 0.500 0.500
Sm 0.500 0.000 0.500
Sm 0.500 0.500 0.000
Pa 0.000 0.000 0.500
Pa 0.000 0.500 0.000
Pa 0.500 0.000 0.000
Pa 0.500 0.500 0.500
Cd 0.250 0.250 0.750
Cd 0.250 0.750 0.250
Cd 0.750 0.250 0.250
Cd 0.750 0.750 0.750
Sn 0.250 0.250 0.250
Sn 0.250 0.750 0.750
Sn 0.750 0.250 0.750
Sn 0.750 0.750 0.250

Results
The formation energy comes out at -0.12 eV/atom. Its density of states at the Fermi level is 2.22 states/eV/atom. For the total energy, the calculation gives -78.42 eV/cell. The space-group type is F-43m (216).

=====

[3]
Compound: TlSnRh2
Source: Alexandria via LeMat-Bulk
Functional: GGA-PBE
Structure: optimized geometry

Cell: 4.478 4.478 3.558 Å, 90.00 90.00 90.00°
Atoms (fractional coordinates):
Tl 0.000 0.000 0.000
Sn 0.500 0.500 0.000
Rh 0.000 0.500 0.500
Rh 0.500 0.000 0.500

Results
The formation energy comes out at -0.12 eV/atom. Its density of states at the Fermi level is 0.42 states/eV/atom. For the total energy, the calculation gives -21.55 eV/cell. The space-group type is P4/mmm (123).

=====

[4]
Compound: NbGa2POs
Source: Alexandria via LeMat-Bulk
Functional: GGA-PBE
Structure: optimized geometry

Cell: 4.661 4.661 4.275 Å, 90.00 90.00 90.00°
Atoms (fractional coordinates):
Nb 0.000 0.000 0.000
Ga 0.000 0.500 0.500
Ga 0.500 0.000 0.500
P 0.500 0.500 0.500
Os 0.500 0.500 0.000

Results
The formation energy comes out at 0.83 eV/atom. Its density of states at the Fermi level is 0.85 states/eV/atom. For the total energy, the calculation gives -28.64 eV/cell. The space-group type is P4/mmm (123).

=====

[5]
Compound: HoErSc
Source: Alexandria via LeMat-Bulk
Functional: GGA-PBE
Structure: optimized geometry

Cell: 4.826 14.539 4.884 Å, 90.00 90.00 90.00°
Atoms (fractional coordinates):
Ho 0.000 0.248 0.250
Ho 0.000 0.752 0.750
Ho 0.500 0.252 0.750
Ho 0.500 0.748 0.250
Er 0.000 0.081 0.750
Er 0.000 0.919 0.250
Er 0.500 0.419 0.250
Er 0.500 0.581 0.750
Sc 0.000 0.418 0.750
Sc 0.000 0.582 0.250
Sc 0.500 0.082 0.250
Sc 0.500 0.918 0.750

Results
The formation energy comes out at 0.05 eV/atom. Its density of states at the Fermi level is 1.50 states/eV/atom. For the total energy, the calculation gives -61.34 eV/cell. The space-group type is Cmcm (63). As for the relative energy among the computed polymorphs: 0.03 kcal/mol of atoms.

=====

[6]
Compound: NiSe2Br
Source: Alexandria via LeMat-Bulk
Functional: GGA-PBE
Structure: optimized geometry

Cell: 3.622 6.255 9.918 Å, 93.46 99.44 106.79°
Atoms (fractional coordinates):
Ni 0.102 0.312 0.381
Ni 0.898 0.688 0.619
Se 0.267 0.423 0.619
Se 0.467 0.040 0.382
Se 0.533 0.960 0.618
Se 0.733 0.577 0.381
Br 0.040 0.754 0.862
Br 0.960 0.246 0.138

Results
Its density of states at the Fermi level is 0.55 states/eV/atom. For the total energy, the calculation gives -30.75 eV/cell. The space-group type is P-1 (2). As for the relative energy among the computed polymorphs: 0.00 kcal/mol of atoms. The value obtained for the uncorrected formation energy is -0.238 eV/atom.

=====

[7]
Compound: LaMn5
Source: Alexandria via LeMat-Bulk
Functional: GGA-PBE
Structure: optimized geometry

Cell: 3.995 2.880 16.546 Å, 90.00 90.00 90.00°
Atoms (fractional coordinates):
La 0.000 0.000 0.000
La 0.000 0.500 0.500
Mn 0.000 0.000 0.303
Mn 0.000 0.000 0.684
Mn 0.000 0.500 0.184
Mn 0.000 0.500 0.803
Mn 0.500 0.000 0.156
Mn 0.500 0.000 0.394
Mn 0.500 0.000 0.784
Mn 0.500 0.500 0.284
Mn 0.500 0.500 0.656
Mn 0.500 0.500 0.894

Results
The formation energy comes out at 0.38 eV/atom. Its density of states at the Fermi level is 1.25 states/eV/atom. For the total energy, the calculation gives -97.04 eV/cell. The space-group type is Amm2 (38).

=====

[8]
Compound: Al5Ir4Ru
Source: Alexandria via LeMat-Bulk
Functional: GGA-PBE
Structure: optimized geometry

Cell: 3.008 3.008 15.077 Å, 90.00 90.00 90.00°
Atoms (fractional coordinates):
Al 0.000 0.000 0.000
Al 0.000 0.000 0.203
Al 0.000 0.000 0.406
Al 0.000 0.000 0.594
Al 0.000 0.000 0.797
Ir 0.500 0.500 0.100
Ir 0.500 0.500 0.300
Ir 0.500 0.500 0.700
Ir 0.500 0.500 0.900
Ru 0.500 0.500 0.500

Results
The formation energy comes out at -0.93 eV/atom. Its density of states at the Fermi level is 0.08 states/eV/atom. For the total energy, the calculation gives -72.75 eV/cell. The space-group type is P4/mmm (123).

=====

[9]
Compound: ZnCr2Si
Source: Alexandria via LeMat-Bulk
Functional: GGA-PBE
Structure: optimized geometry

Cell: 5.840 5.840 5.840 Å, 90.00 90.00 90.00°
Atoms (fractional coordinates):
Zn 0.000 0.000 0.000
Zn 0.000 0.500 0.500
Zn 0.500 0.000 0.500
Zn 0.500 0.500 0.000
Cr 0.000 0.000 0.500
Cr 0.000 0.500 0.000
Cr 0.250 0.250 0.750
Cr 0.250 0.750 0.250
Cr 0.500 0.000 0.000
Cr 0.500 0.500 0.500
Cr 0.750 0.250 0.250
Cr 0.750 0.750 0.750
Si 0.250 0.250 0.250
Si 0.250 0.750 0.750
Si 0.750 0.250 0.750
Si 0.750 0.750 0.250

Results
Its density of states at the Fermi level is 0.04 states/eV/atom. For the total energy, the calculation gives -102.52 eV/cell. The space-group type is F-43m (216). The value obtained for the uncorrected formation energy is 0.079 eV/atom.

=====

[10]
Compound: TbTmSi
Source: Alexandria via LeMat-Bulk
Functional: GGA-PBE
Structure: optimized geometry

Cell: 4.149 5.960 6.875 Å, 76.94 72.46 69.82°
Atoms (fractional coordinates):
Tb 0.085 0.189 0.140
Tb 0.915 0.811 0.860
Tm 0.324 0.273 0.577
Tm 0.676 0.727 0.423
Si 0.377 0.586 0.161
Si 0.623 0.414 0.839

Results
Its density of states at the Fermi level is 1.02 states/eV/atom. For the total energy, the calculation gives -32.23 eV/cell. The space-group type is P-1 (2). As for the relative energy among the computed polymorphs: 0.00 kcal/mol of atoms. The value obtained for the uncorrected formation energy is -0.530 eV/atom.

=====

[11]
Compound: NbAlF2
Source: Alexandria via LeMat-Bulk
Functional: GGA-PBE
Structure: optimized geometry

Cell: 5.971 5.971 5.971 Å, 90.00 90.00 90.00°
Atoms (fractional coordinates):
Nb 0.000 0.000 0.000
Nb 0.000 0.500 0.500
Nb 0.500 0.000 0.500
Nb 0.500 0.500 0.000
Al 0.000 0.000 0.500
Al 0.000 0.500 0.000
Al 0.500 0.000 0.000
Al 0.500 0.500 0.500
F 0.250 0.250 0.250
F 0.250 0.250 0.750
F 0.250 0.750 0.250
F 0.250 0.750 0.750
F 0.750 0.250 0.250
F 0.750 0.250 0.750
F 0.750 0.750 0.250
F 0.750 0.750 0.750

Results
Its density of states at the Fermi level is 1.20 states/eV/atom. For the total energy, the calculation gives -81.32 eV/cell. The space-group type is Fm-3m (225). As for the relative energy among the computed polymorphs: 16.51 kcal/mol of atoms. The value obtained for the uncorrected formation energy is -0.694 eV/atom.

=====

[12]
Compound: Cs2HgAuI6
Source: Alexandria via LeMat-Bulk
Functional: GGA-PBE
Structure: optimized geometry

Cell: 8.626 8.626 8.626 Å, 120.07 120.07 89.88°
Atoms (fractional coordinates):
Cs 0.250 0.750 0.500
Cs 0.750 0.250 0.500
Hg 0.000 0.000 0.000
Au 0.500 0.500 0.000
I 0.225 0.225 0.000
I 0.272 0.272 0.543
I 0.272 0.728 0.000
I 0.728 0.272 0.000
I 0.728 0.728 0.457
I 0.775 0.775 0.000

Results
Its density of states at the Fermi level is 0.86 states/eV/atom. For the total energy, the calculation gives -21.74 eV/cell. The space-group type is I4/mmm (139). The value obtained for the uncorrected formation energy is -0.716 eV/atom.